## a
VASP calculation (GGA+U) on NiMoP2O after structural relaxation.

Summary:
**Space group**: P4/mmm
**Total magnetization**: 0.1877 μB/atom
**DOS(E_F)**: 0.48 states/eV per atom

Lattice parameters (Å, degrees): 4.8095 4.8095 3.7691 90.00 90.00 90.00
With the nearest neighbours (Å) after each atom.
Sites, in units of the cell vectors:
Mo (0.0000, 0.0000, 0.0000)  2 O 1.88
P (0.0000, 0.5000, 0.0000)  2 Mo 2.40
Ni (0.5000, 0.5000, 0.5000)  8 P 3.06, 4 O 3.40
P (0.5000, 0.0000, 0.0000)  2 Mo 2.40
O (0.0000, 0.0000, 0.5000)  2 Mo 1.88

## b
VASP calculation (GGA+U) on NiMoP2O after structural relaxation.

Summary:
**Space group**: P4/mmm
**Total magnetization**: 0.5721 μB/atom
**DOS(E_F)**: 0.70 states/eV per atom

Lattice parameters (Å, degrees): 4.5828 4.5828 3.4906 90.00 90.00 90.00
With the nearest neighbours (Å) after each atom.
Sites, in units of the cell vectors:
Ni (0.0000, 0.0000, 0.0000)  2 O 1.75
O (0.0000, 0.0000, 0.5000)  2 Ni 1.75
P (0.0000, 0.5000, 0.0000)  2 Ni 2.29
P (0.5000, 0.0000, 0.0000)  2 Ni 2.29
Mo (0.5000, 0.5000, 0.5000)  8 P 2.88

Here is how they stack up, most stable first: a, b.